The following is a PBE calculation of a relaxed structure of CaSm2Tm, from Alexandria.

## Properties
ΔE_f	5.42	kJ/mol of atoms
E above lowest polymorph	6	meV per atom
DFT total energy	-3.9217	eV per atom
crystal system	tetragonal
symmetry	P4/mmm, No. 123

Cell: 3.633 3.633 10.408 Å, 90.00 90.00 90.00°
Atoms (fractional coordinates):
Ca  0.000  0.000  0.000
Sm  0.500  0.500  0.268
Sm  0.500  0.500  0.732
Tm  0.000  0.000  0.500